The following is a SCAN calculation of a crystal of Zn2NiOs relaxed with PBEsol, from Alexandria.

a = 2.5469 Å, b = 4.7299 Å, c = 5.0018 Å
α = 117.05°, β = 102.78°, γ = 94.05°
Last column: nearest neighbours and their distance in Å.
Atoms (fractional coordinates):
Ni1 0.5000 0.0000 0.0000  4 Zn 2.54, 2 Ni 2.55, 4 Os 2.61-2.76
Os1 0.0000 0.5000 0.0000  4 Zn 2.54, 2 Os 2.55, 4 Ni 2.61-2.76
Zn1 0.0000 0.0000 0.5000  2 Ni 2.54, 2 Os 2.54, 6 Zn 2.55-2.76
Zn2 0.5000 0.5000 0.5000  2 Os 2.54, 2 Ni 2.54, 6 Zn 2.55-2.76

Summary:
- ΔE_f (eV per atom) = 0.08
- total moment (μB per formula unit) = 0.31
- Fermi-level density of states (states/eV per atom) = 0.3986
- E_tot (eV per formula unit) = -114.75
- symmetry = No. 12